[1]
## Na3Pa2WN6 (PBE)

Data for an optimized crystal structure of Na3Pa2WN6.

Calculated values
formation energy without anion corrections	-911	meV/atom
mass density	7723	kg/m3

abc: 5.895 5.895 6.022
angles: 99.06 99.06 120.13
Atoms (fractional coordinates):
Na1 0.000 0.000 0.000
Na2 0.346 0.654 0.000
Na3 0.654 0.346 0.000
Pa1 0.167 0.833 0.500
Pa2 0.833 0.167 0.500
W1 0.500 0.500 0.500
N1 0.130 0.439 0.313
N2 0.248 0.248 0.686
N3 0.439 0.130 0.313
N4 0.561 0.870 0.687
N5 0.752 0.752 0.314
N6 0.870 0.561 0.687


[2]
## NaPa2WN6 (PBE)

Data for an optimized crystal structure of NaPa2WN6.

Calculated values
formation energy without anion corrections	-665	meV/atom
mass density	8306	kg/m3

abc: 5.365 5.365 5.230
angles: 90.00 90.00 90.00
Atoms (fractional coordinates):
Na1 0.000 0.000 0.000
Pa1 0.000 0.500 0.435
Pa2 0.500 0.000 0.435
W1 0.500 0.500 0.067
N1 0.000 0.000 0.582
N2 0.262 0.262 0.218
N3 0.262 0.738 0.218
N4 0.500 0.500 0.709
N5 0.738 0.262 0.218
N6 0.738 0.738 0.218


[3]
## NaY3Pa2N6 (PBE)

Data for an optimized crystal structure of NaY3Pa2N6.

Calculated values
formation energy without anion corrections	-1469	meV/atom
mass density	7737	kg/m3

abc: 7.655 7.655 7.057
angles: 103.69 103.69 26.56
Atoms (fractional coordinates):
Na1 0.000 0.000 0.000
Y1 0.000 0.000 0.500
Y2 0.339 0.339 0.164
Y3 0.661 0.661 0.836
Pa1 0.338 0.338 0.677
Pa2 0.662 0.662 0.323
N1 0.170 0.170 0.581
N2 0.172 0.172 0.098
N3 0.487 0.487 0.723
N4 0.513 0.513 0.277
N5 0.828 0.828 0.902
N6 0.830 0.830 0.419


[4]
## NaYPa2N5 (PBE)

Data for an optimized crystal structure of NaYPa2N5.

Calculated values
formation energy without anion corrections	-1037	meV/atom
mass density	7659	kg/m3

abc: 7.838 7.838 7.838
angles: 129.53 129.53 74.16
Atoms (fractional coordinates):
Na1 0.250 0.250 0.000
Na2 0.750 0.750 0.000
Y1 0.250 0.750 0.500
Y2 0.750 0.250 0.500
Pa1 0.172 0.672 0.844
Pa2 0.328 0.172 0.500
Pa3 0.672 0.828 0.500
Pa4 0.828 0.328 0.156
N1 0.000 0.000 0.000
N2 0.040 0.231 0.500
N3 0.231 0.731 0.190
N4 0.269 0.460 0.500
N5 0.460 0.960 0.190
N6 0.500 0.500 0.000
N7 0.540 0.040 0.810
N8 0.731 0.540 0.500
N9 0.769 0.269 0.810
N10 0.960 0.769 0.500


[5]
## Na4YPa3N8 (PBE)

Data for an optimized crystal structure of Na4YPa3N8.

Calculated values
formation energy without anion corrections	-1026	meV/atom
mass density	6556	kg/m3

abc: 7.030 7.030 7.027
angles: 119.21 119.21 60.68
Atoms (fractional coordinates):
Na1 0.000 0.000 0.000
Na2 0.000 0.500 0.500
Na3 0.500 0.000 0.500
Na4 0.500 0.500 0.000
Y1 0.000 0.000 0.500
Pa1 0.000 0.500 0.000
Pa2 0.500 0.000 0.000
Pa3 0.500 0.500 0.500
N1 0.236 0.236 0.785
N2 0.237 0.715 0.265
N3 0.269 0.269 0.230
N4 0.285 0.763 0.735
N5 0.715 0.237 0.265
N6 0.731 0.731 0.770
N7 0.763 0.285 0.735
N8 0.764 0.764 0.215


[6]
## NaPaZnN3 (PBE)

Data for an optimized crystal structure of NaPaZnN3.

Calculated values
formation energy without anion corrections	-543	meV/atom
mass density	5523	kg/m3

abc: 6.872 3.584 9.349
angles: 90.00 109.29 90.00
Atoms (fractional coordinates):
Na1 0.184 0.250 0.139
Na2 0.816 0.750 0.861
Pa1 0.310 0.750 0.852
Pa2 0.690 0.250 0.148
Zn1 0.008 0.250 0.616
Zn2 0.992 0.750 0.384
N1 0.094 0.250 0.843
N2 0.157 0.750 0.598
N3 0.461 0.750 0.104
N4 0.539 0.250 0.896
N5 0.843 0.250 0.402
N6 0.906 0.750 0.157


[7]
## NaPa2ZnN4 (PBE)

Data for an optimized crystal structure of NaPa2ZnN4.

Calculated values
formation energy without anion corrections	-1020	meV/atom
mass density	8057	kg/m3

abc: 6.206 6.206 11.780
angles: 90.00 90.00 146.57
Atoms (fractional coordinates):
Na1 0.070 0.930 0.750
Na2 0.930 0.070 0.250
Pa1 0.371 0.629 0.555
Pa2 0.371 0.629 0.945
Pa3 0.629 0.371 0.055
Pa4 0.629 0.371 0.445
Zn1 0.192 0.808 0.250
Zn2 0.808 0.192 0.750
N1 0.000 0.000 0.000
N2 0.000 0.000 0.500
N3 0.252 0.748 0.094
N4 0.252 0.748 0.406
N5 0.408 0.592 0.750
N6 0.592 0.408 0.250
N7 0.748 0.252 0.594
N8 0.748 0.252 0.906


[8]
## NaPa2Zn3N6 (PBE)

Data for an optimized crystal structure of NaPa2Zn3N6.

Calculated values
formation energy without anion corrections	-563	meV/atom
mass density	7766	kg/m3

abc: 6.652 6.652 7.203
angles: 101.30 101.30 31.63
Atoms (fractional coordinates):
Na1 0.000 0.000 0.000
Pa1 0.339 0.339 0.682
Pa2 0.661 0.661 0.318
Zn1 0.000 0.000 0.500
Zn2 0.339 0.339 0.149
Zn3 0.661 0.661 0.851
N1 0.164 0.164 0.523
N2 0.184 0.184 0.128
N3 0.489 0.489 0.256
N4 0.511 0.511 0.744
N5 0.816 0.816 0.872
N6 0.836 0.836 0.477